! PBE CoSeS3, optimized geometry; values from VASP
&SYSTEM
  ibrav = 0, nat = 5, ntyp = 3
/
ATOMIC_SPECIES
S 32.06 S.upf
Co 58.93 Co.upf
Se 78.96 Se.upf
ATOMIC_POSITIONS angstrom
S 0.000 0.000 2.204
Co 0.000 0.000 0.000
Se 2.204 2.204 2.204
S 2.204 0.000 0.000
S 0.000 2.204 0.000
CELL_PARAMETERS angstrom
4.408 0.000 0.000
0.000 4.408 0.000
0.000 0.000 4.408
! Relative energy among the computed polymorphs in meV per atom: 0

The following is a PBE calculation of a relaxed structure of Co3Se2S2, from Alexandria. Values from VASP.

Quantum ESPRESSO input file:
```
&SYSTEM
  ibrav = 0, nat = 7, ntyp = 3
/
ATOMIC_SPECIES
Co 58.93 Co.upf
S 32.06 S.upf
Se 78.96 Se.upf
ATOMIC_POSITIONS angstrom
Co 1.826 3.958 0.105
S -0.206 4.225 -0.727
Se 0.652 3.579 2.301
Co 0.693 1.136 2.445
Se 1.867 1.515 0.249
S 2.725 0.869 3.277
Co 0.000 0.000 0.000
CELL_PARAMETERS angstrom
3.325 0.000 -0.943
-0.759 5.253 -2.676
-0.047 -0.159 6.169
```

no.,DFT total energy (hartree per atom),Fermi-level density of states (states/eV per atom),uncorrected formation energy (eV per atom)
1,-0.149,1.2528,0.540
2,-0.204,0.8464,-0.325